# TaCoRhO6 | the Alexandria database | PBE+U | relaxed
data_TaCoRhO6
_chemical_formula_sum 'Ta2 Co2 Rh2 O12'
_symmetry_space_group_name_H-M 'P 1'
_symmetry_Int_Tables_number 1
_cell_length_a 4.619
_cell_length_b 4.619
_cell_length_c 8.984
_cell_angle_alpha 90.00
_cell_angle_beta 90.00
_cell_angle_gamma 90.00
loop_
_symmetry_equiv_pos_as_xyz
'x,y,z'
loop_
_atom_site_label
_atom_site_type_symbol
_atom_site_fract_x
_atom_site_fract_y
_atom_site_fract_z
O1 O 0.691 0.691 0.662
O2 O 0.309 0.309 0.662
O3 O 0.807 0.193 0.835
O4 O 0.210 0.790 0.506
O5 O 0.790 0.210 0.506
O6 O 0.307 0.307 0.335
O7 O 0.193 0.807 0.835
O8 O 0.809 0.191 0.162
O9 O 0.191 0.809 0.162
O10 O 0.710 0.710 0.006
O11 O 0.290 0.290 0.006
O12 O 0.693 0.693 0.335
Rh1 Rh 0.500 0.500 0.836
Rh2 Rh 0.000 0.000 0.336
Co1 Co 0.000 0.000 0.999
Co2 Co 0.500 0.500 0.499
Ta1 Ta 0.500 0.500 0.160
Ta2 Ta 0.000 0.000 0.660
# Energy (Ry/atom): -0.554
# Spin magnetization (μB per cell): 2.01
# Symmetry: P4_2nm (102)